Record 1
# MnCr4CdSe8

A relaxed MnCr4CdSe8 crystal (PBE, Alexandria via LeMat-Bulk).

Calculated values
Formation energy without anion corrections in meV/atom: -541
Symmetry: F-43m (216)

a b c (Å): 7.6158 7.6158 7.6158
angles (deg): 60.00 60.00 60.00
With the nearest neighbours (Å) after each atom.
Fractional coordinates of all 14 atoms:
Mn1 0.5000 0.5000 0.5000  4 Se 2.53
Cd1 0.7500 0.7500 0.7500  4 Se 2.62
Cr1 0.6241 0.1253 0.1253  6 Se 2.54-2.58
Se1 0.3642 0.9074 0.3642  1 Mn 2.53, 3 Cr 2.58
Cr2 0.1253 0.6241 0.1253  6 Se 2.54-2.58
Se2 0.3642 0.3642 0.3642  1 Mn 2.53, 3 Cr 2.58
Se3 0.8904 0.3287 0.8904  3 Cr 2.54, 1 Cd 2.62
Se4 0.9074 0.3642 0.3642  1 Mn 2.53, 3 Cr 2.58
Cr3 0.1253 0.1253 0.1253  6 Se 2.54-2.58
Se5 0.8904 0.8904 0.3287  3 Cr 2.54, 1 Cd 2.62
Se6 0.8904 0.8904 0.8904  3 Cr 2.54, 1 Cd 2.62
Cr4 0.1253 0.1253 0.6241  6 Se 2.54-2.58
Se7 0.3287 0.8904 0.8904  3 Cr 2.54, 1 Cd 2.62
Se8 0.3642 0.3642 0.9074  1 Mn 2.53, 3 Cr 2.58



Record 2
# Rb3Ho2ThS6

A relaxed Rb3Ho2ThS6 crystal (PBE, Alexandria via LeMat-Bulk).

Calculated values
Formation energy without anion corrections in meV/atom: -1780
Symmetry: C2/m (12)

a b c (Å): 7.0790 7.0790 8.0703
angles (deg): 98.41 98.41 120.01
With the nearest neighbours (Å) after each atom.
Fractional coordinates of all 12 atoms:
Ho1 0.3333 0.6667 0.0000  6 S 2.79
S1 0.0649 0.4025 0.1948  2 Ho 2.79, 1 Th 2.82
Rb1 0.1667 0.8333 0.5000  6 S 3.31-3.34
S2 0.2726 0.2726 0.8052  2 Ho 2.79, 1 Th 2.82
Rb2 0.5000 0.5000 0.5000  6 S 3.31-3.34
S3 0.5975 0.9351 0.8052  2 Ho 2.79, 1 Th 2.82
Ho2 0.6667 0.3333 0.0000  6 S 2.79
Rb3 0.8333 0.1667 0.5000  6 S 3.31-3.34
S4 0.4025 0.0649 0.1948  2 Ho 2.79, 1 Th 2.82
Th1 0.0000 0.0000 0.0000  6 S 2.82
S5 0.7274 0.7274 0.1948  2 Ho 2.79, 1 Th 2.82
S6 0.9351 0.5975 0.8052  2 Ho 2.79, 1 Th 2.82



Record 3
# Sr2InPt4Pb3

A relaxed Sr2InPt4Pb3 crystal (PBE, Alexandria via LeMat-Bulk).

Calculated values
Energy of formation from the pure elements in meV/atom: -528
Symmetry: P-4m2 (115)

a b c (Å): 4.8164 4.8164 10.9448
angles (deg): 90.00 90.00 90.00
With the nearest neighbours (Å) after each atom.
Fractional coordinates of all 10 atoms:
Pt1 0.5000 0.5000 0.0000  4 Pb 2.77
Sr1 0.5000 0.0000 0.2370  8 Pt 3.54-3.72, 7 Pb 3.62-3.96, 2 In 3.75
Pb1 0.0000 0.0000 0.5000  4 Pt 2.78
Sr2 0.0000 0.5000 0.7630  8 Pt 3.54-3.72, 7 Pb 3.62-3.96, 2 In 3.75
Pt2 0.0000 0.5000 0.3737  3 Pb 2.73-2.78, 2 In 2.78
Pt3 0.5000 0.0000 0.6263  3 Pb 2.73-2.78, 2 In 2.78
In1 0.5000 0.5000 0.5000  4 Pt 2.78
Pt4 0.0000 0.0000 0.0000  4 Pb 2.77
Pb2 0.5000 0.0000 0.8753  5 Pt 2.73-2.77
Pb3 0.0000 0.5000 0.1247  5 Pt 2.73-2.77



Record 4
# Rb2ZnSb2

A relaxed Rb2ZnSb2 crystal (PBE, Alexandria via LeMat-Bulk).

Calculated values
Formation energy without anion corrections in meV/atom: 25
Symmetry: I4/mmm (139)

a b c (Å): 7.1790 7.1790 6.8781
angles (deg): 58.54 58.54 90.00
With the nearest neighbours (Å) after each atom.
Fractional coordinates of all 5 atoms:
Zn1 0.0000 0.0000 0.0000  2 Sb 3.27
Rb1 0.7500 0.2500 0.5000  4 Sb 3.71
Sb1 0.3528 0.3528 0.2945  1 Sb 2.73
Sb2 0.6472 0.6472 0.7055  1 Sb 2.73
Rb2 0.2500 0.7500 0.5000  4 Sb 3.71



Record 5
# SmYCS

A relaxed SmYCS crystal (PBE, Alexandria via LeMat-Bulk).

Calculated values
Formation energy without anion corrections in meV/atom: -1225
Symmetry: R3m (160)

a b c (Å): 3.7761 3.7761 6.8100
angles (deg): 73.90 73.90 60.00
With the nearest neighbours (Å) after each atom.
Fractional coordinates of all 4 atoms:
Sm1 0.2630 0.2630 0.2109  3 C 2.58
S1 0.4973 0.4973 0.5081  3 Y 2.82, 3 Sm 2.90
Y1 0.7385 0.7385 0.7844  3 C 2.57, 3 S 2.82
C1 0.0011 0.0011 0.9966  3 Y 2.57, 3 Sm 2.58



Record 6
# LaBeZn2

A relaxed LaBeZn2 crystal (PBE, Alexandria via LeMat-Bulk).

Calculated values
Energy of formation from the pure elements in meV/atom: -26
Symmetry: F-43m (216)

a b c (Å): 4.7459 4.7459 4.7459
angles (deg): 60.00 60.00 60.00
With the nearest neighbours (Å) after each atom.
Fractional coordinates of all 4 atoms:
Zn1 0.2500 0.2500 0.2500  4 Be 2.91, 4 Zn 2.91
Zn2 0.0000 0.0000 0.0000  4 Zn 2.91, 4 La 2.91
La1 0.7500 0.7500 0.7500  4 Zn 2.91, 4 Be 2.91
Be1 0.5000 0.5000 0.5000  4 La 2.91, 4 Zn 2.91



no.,calculated density (g/cm³),calculated volume (A^3/atom)
1,5.4,22.31
2,5.0,27.91
3,11.1,25.39
4,3.3,47.84
5,5.9,19.92
6,6.1,18.90